# 1
BaHSe2N | the Alexandria database | PBE-GGA | optimized geometry; excess energy over the best structure of this formula in the dataset = 0.958 eV/atom; space-group type = P4/mmm; mass density = 2.162 g/cm³; calculated total energy = -14.5 eV for the cell shown
1.0
6.582 0.000 0.000
0.000 6.582 0.000
0.000 0.000 5.502
Ba H Se N
1 1 2 1
Direct
0.000 0.000 0.000 Ba
0.500 0.500 0.500 H
0.000 0.500 0.000 Se
0.500 0.000 0.000 Se
0.000 0.000 0.500 N

# 2
BaSiH2N | the Alexandria database | PBE-GGA | optimized geometry; space-group type = P4/mmm; mass density = 3.150 g/cm³; calculated total energy = -15.8 eV for the cell shown
1.0
4.448 0.000 0.000
0.000 4.448 0.000
0.000 0.000 4.836
Ba Si H N
1 1 2 1
Direct
0.000 0.000 0.000 Ba
0.500 0.500 0.500 Si
0.000 0.500 0.000 H
0.500 0.000 0.000 H
0.000 0.000 0.500 N

# 3
Ba6Sn2HN | the Alexandria database | PBE-GGA | optimized geometry; space-group type = Fm-3m; mass density = 5.104 g/cm³; calculated total energy = -37.1 eV for the cell shown
1.0
0.000 5.594 5.594
5.594 0.000 5.594
5.594 5.594 0.000
Ba Sn H N
6 2 1 1
Direct
0.242 0.242 0.758 Ba
0.242 0.758 0.242 Ba
0.242 0.758 0.758 Ba
0.758 0.242 0.242 Ba
0.758 0.242 0.758 Ba
0.758 0.758 0.242 Ba
0.250 0.250 0.250 Sn
0.750 0.750 0.750 Sn
0.500 0.500 0.500 H
0.000 0.000 0.000 N

# 4
BaSn2HN | the Alexandria database | PBE-GGA | optimized geometry; space-group type = P4/mmm; mass density = 5.766 g/cm³; calculated total energy = -18.7 eV for the cell shown
1.0
4.375 0.000 0.000
0.000 4.375 0.000
0.000 0.000 5.866
Ba Sn H N
1 2 1 1
Direct
0.000 0.000 0.000 Ba
0.000 0.500 0.500 Sn
0.500 0.000 0.500 Sn
0.000 0.000 0.500 H
0.500 0.500 0.000 N

# 5
BaTaHN2 | the Alexandria database | PBE-GGA | optimized geometry; space-group type = P2_1/m; mass density = 7.512 g/cm³; calculated total energy = -76.1 eV for the cell shown
1.0
6.896 0.000 0.000
0.000 3.259 0.000
-1.783 0.000 6.832
Ba Ta H N
2 2 2 4
Direct
0.209 0.250 0.309 Ba
0.791 0.750 0.691 Ba
0.333 0.750 0.847 Ta
0.667 0.250 0.153 Ta
0.375 0.750 0.581 H
0.625 0.250 0.419 H
0.150 0.250 0.788 N
0.430 0.750 0.134 N
0.570 0.250 0.866 N
0.850 0.750 0.212 N

# 6
BaTcHN2 | the Alexandria database | PBE-GGA | optimized geometry; space-group type = P4/mmm; mass density = 6.686 g/cm³; calculated total energy = -33.9 eV for the cell shown
1.0
4.002 0.000 0.000
0.000 4.002 0.000
0.000 0.000 4.100
Ba Tc H N
1 1 1 2
Direct
0.000 0.000 0.000 Ba
0.500 0.500 0.500 Tc
0.500 0.500 0.000 H
0.000 0.500 0.500 N
0.500 0.000 0.500 N

# 7
Ba2TcH4N2 | the Alexandria database | PBE-GGA | optimized geometry; space-group type = C2/m; mass density = 5.013 g/cm³; calculated total energy = -46.4 eV for the cell shown
1.0
5.012 -2.818 0.000
5.012 2.818 0.000
-0.093 0.000 4.745
Ba Tc H N
2 1 4 2
Direct
0.174 0.174 0.271 Ba
0.826 0.826 0.729 Ba
0.500 0.500 0.000 Tc
0.194 0.668 0.207 H
0.332 0.806 0.793 H
0.668 0.194 0.207 H
0.806 0.332 0.793 H
0.344 0.344 0.778 N
0.656 0.656 0.222 N

# 8
Ba5TcH2N4 | the Alexandria database | PBE-GGA | optimized geometry; space-group type = Amm2; mass density = 5.204 g/cm³; calculated total energy = -64.9 eV for the cell shown
1.0
7.903 0.000 0.000
0.000 5.149 3.304
0.000 -5.149 3.304
Ba Tc H N
5 1 2 4
Direct
0.000 0.000 0.000 Ba
0.271 0.300 0.658 Ba
0.271 0.658 0.300 Ba
0.729 0.300 0.658 Ba
0.729 0.658 0.300 Ba
0.500 0.986 0.986 Tc
0.000 0.492 0.975 H
0.000 0.975 0.492 H
0.315 0.166 0.166 N
0.500 0.674 0.967 N
0.500 0.967 0.674 N
0.685 0.166 0.166 N

# 9
BaTe2HN | the Alexandria database | PBE-GGA | optimized geometry; excess energy over the best structure of this formula in the dataset = 0.000 eV/atom; space-group type = P4/mmm; mass density = 5.558 g/cm³; calculated total energy = -18.1 eV for the cell shown
1.0
4.398 0.000 0.000
0.000 4.398 0.000
0.000 0.000 6.296
Ba Te H N
1 2 1 1
Direct
0.000 0.000 0.000 Ba
0.000 0.500 0.500 Te
0.500 0.000 0.500 Te
0.500 0.500 0.500 H
0.500 0.500 0.000 N

# 10
BaTe2HN | the Alexandria database | PBE-GGA | optimized geometry; excess energy over the best structure of this formula in the dataset = 0.864 eV/atom; space-group type = P4/mmm; mass density = 2.545 g/cm³; calculated total energy = -13.8 eV for the cell shown
1.0
7.012 0.000 0.000
0.000 7.012 0.000
0.000 0.000 5.408
Ba Te H N
1 2 1 1
Direct
0.000 0.000 0.000 Ba
0.000 0.500 0.000 Te
0.500 0.000 0.000 Te
0.500 0.500 0.500 H
0.000 0.000 0.500 N

# 11
Ba2ThH2N2 | the Alexandria database | PBE-GGA | optimized geometry; space-group type = I4/mmm; mass density = 5.722 g/cm³; calculated total energy = -80.5 eV for the cell shown
1.0
4.732 0.000 0.000
0.000 4.732 0.000
0.000 0.000 13.912
Ba Th H N
4 2 4 4
Direct
0.000 0.000 0.126 Ba
0.000 0.000 0.874 Ba
0.500 0.500 0.374 Ba
0.500 0.500 0.626 Ba
0.000 0.000 0.500 Th
0.500 0.500 0.000 Th
0.000 0.000 0.322 H
0.000 0.000 0.678 H
0.500 0.500 0.178 H
0.500 0.500 0.822 H
0.000 0.500 0.000 N
0.000 0.500 0.500 N
0.500 0.000 0.000 N
0.500 0.000 0.500 N

# 12
Ba6Tl2HN | the Alexandria database | PBE-GGA | optimized geometry; space-group type = Cm; mass density = 5.710 g/cm³; calculated total energy = -31.8 eV for the cell shown
1.0
5.653 -5.667 0.000
5.653 5.667 0.000
-5.644 0.000 5.664
Ba Tl H N
6 2 1 1
Direct
0.000 0.000 0.000 Ba
0.000 0.000 0.481 Ba
0.000 0.481 0.480 Ba
0.481 0.000 0.480 Ba
0.481 0.481 0.962 Ba
0.482 0.482 0.482 Ba
0.491 0.990 0.981 Tl
0.990 0.491 0.981 Tl
0.741 0.741 0.481 H
0.241 0.241 0.481 N

# 13
Ba2TlHN | the Alexandria database | PBE-GGA | optimized geometry; space-group type = P4/mmm; mass density = 5.596 g/cm³; calculated total energy = -17.3 eV for the cell shown
1.0
5.704 0.000 0.000
0.000 5.704 0.000
0.000 0.000 4.506
Ba Tl H N
2 1 1 1
Direct
0.000 0.500 0.000 Ba
0.500 0.000 0.000 Ba
0.000 0.000 0.500 Tl
0.500 0.500 0.500 H
0.000 0.000 0.000 N

# 14
Ba5VH2N4 | the Alexandria database | PBE-GGA | optimized geometry; space-group type = Amm2; mass density = 5.093 g/cm³; calculated total energy = -66.3 eV for the cell shown
1.0
7.968 0.000 0.000
0.000 5.086 3.200
0.000 -5.086 3.200
Ba V H N
5 1 2 4
Direct
0.000 0.000 0.000 Ba
0.280 0.298 0.657 Ba
0.280 0.657 0.298 Ba
0.720 0.298 0.657 Ba
0.720 0.657 0.298 Ba
0.500 0.986 0.986 V
0.000 0.493 0.973 H
0.000 0.973 0.493 H
0.311 0.154 0.154 N
0.500 0.666 0.963 N
0.500 0.963 0.666 N
0.689 0.154 0.154 N

# 15
Ba5H2WN4 | the Alexandria database | PBE-GGA | optimized geometry; space-group type = Amm2; mass density = 5.676 g/cm³; calculated total energy = -69.8 eV for the cell shown
1.0
7.969 0.000 0.000
0.000 5.225 3.262
0.000 -5.225 3.262
Ba H W N
5 2 1 4
Direct
0.000 0.000 0.000 Ba
0.272 0.299 0.654 Ba
0.272 0.654 0.299 Ba
0.728 0.299 0.654 Ba
0.728 0.654 0.299 Ba
0.000 0.474 0.971 H
0.000 0.971 0.474 H
0.500 0.985 0.985 W
0.309 0.160 0.160 N
0.500 0.667 0.967 N
0.500 0.967 0.667 N
0.691 0.160 0.160 N

# 16
Ba4NaH7 | the Alexandria database | PBE-GGA | optimized geometry; space-group type = C2/m; mass density = 3.859 g/cm³; calculated total energy = -37.1 eV for the cell shown
1.0
7.388 -2.248 0.000
7.388 2.248 0.000
-7.011 0.000 7.506
Ba Na H
4 1 7
Direct
0.083 0.083 0.287 Ba
0.243 0.243 0.831 Ba
0.757 0.757 0.169 Ba
0.917 0.917 0.713 Ba
0.500 0.500 0.500 Na
0.000 0.000 0.500 H
0.134 0.134 0.069 H
0.293 0.293 0.637 H
0.402 0.402 0.197 H
0.598 0.598 0.803 H
0.707 0.707 0.363 H
0.866 0.866 0.931 H

# 17
Ba2NaH | the Alexandria database | PBE-GGA | optimized geometry; excess energy over the best structure of this formula in the dataset = 0.449 eV/atom; space-group type = Fm-3m; mass density = 3.082 g/cm³; calculated total energy = -29.4 eV for the cell shown
1.0
8.634 0.000 0.000
0.000 8.634 0.000
0.000 0.000 8.634
Ba Na H
8 4 4
Direct
0.250 0.250 0.250 Ba
0.250 0.250 0.750 Ba
0.250 0.750 0.250 Ba
0.250 0.750 0.750 Ba
0.750 0.250 0.250 Ba
0.750 0.250 0.750 Ba
0.750 0.750 0.250 Ba
0.750 0.750 0.750 Ba
0.000 0.000 0.000 Na
0.000 0.500 0.500 Na
0.500 0.000 0.500 Na
0.500 0.500 0.000 Na
0.000 0.000 0.500 H
0.000 0.500 0.000 H
0.500 0.000 0.000 H
0.500 0.500 0.500 H

# 18
Ba2NaH | the Alexandria database | PBE-GGA | optimized geometry; excess energy over the best structure of this formula in the dataset = 0.000 eV/atom; space-group type = P2_1/c; mass density = 2.997 g/cm³; calculated total energy = -36.5 eV for the cell shown
1.0
10.015 0.000 0.000
0.000 7.638 0.000
-1.149 0.000 8.651
Ba Na H
8 4 4
Direct
0.078 0.155 0.314 Ba
0.078 0.345 0.814 Ba
0.275 0.658 0.509 Ba
0.275 0.842 0.009 Ba
0.725 0.158 0.991 Ba
0.725 0.342 0.491 Ba
0.922 0.655 0.186 Ba
0.922 0.845 0.686 Ba
0.402 0.137 0.653 Na
0.402 0.363 0.153 Na
0.598 0.637 0.847 Na
0.598 0.863 0.347 Na
0.156 0.674 0.765 H
0.156 0.826 0.265 H
0.844 0.174 0.735 H
0.844 0.326 0.235 H

# 19
Ba2NaH | the Alexandria database | PBE-GGA | optimized geometry; excess energy over the best structure of this formula in the dataset = 0.074 eV/atom; space-group type = R3m; mass density = 3.176 g/cm³; calculated total energy = -26.5 eV for the cell shown
1.0
4.244 0.000 0.000
-2.122 3.675 0.000
0.000 0.000 30.034
Ba Na H
6 3 3
Direct
0.000 0.000 0.000 Ba
0.000 0.000 0.225 Ba
0.333 0.667 0.667 Ba
0.333 0.667 0.891 Ba
0.667 0.333 0.333 Ba
0.667 0.333 0.558 Ba
0.000 0.000 0.779 Na
0.333 0.667 0.445 Na
0.667 0.333 0.112 Na
0.000 0.000 0.612 H
0.333 0.667 0.279 H
0.667 0.333 0.945 H

# 20
BaNaH | the Alexandria database | PBE-GGA | optimized geometry; excess energy over the best structure of this formula in the dataset = 0.111 eV/atom; space-group type = P3m1; mass density = 2.484 g/cm³; calculated total energy = -6.9 eV for the cell shown
1.0
4.427 0.000 0.000
-2.213 3.834 0.000
0.000 0.000 6.354
Ba Na H
1 1 1
Direct
0.000 0.000 0.000 Ba
0.333 0.667 0.500 Na
0.667 0.333 0.002 H

# 21
Ba2NaH4 | the Alexandria database | PBE-GGA | optimized geometry; space-group type = I4/mmm; mass density = 3.876 g/cm³; calculated total energy = -41.6 eV for the cell shown
1.0
4.268 0.000 0.000
0.000 4.268 0.000
0.000 0.000 14.187
Ba Na H
4 2 8
Direct
0.000 0.000 0.142 Ba
0.000 0.000 0.858 Ba
0.500 0.500 0.358 Ba
0.500 0.500 0.642 Ba
0.000 0.000 0.500 Na
0.500 0.500 0.000 Na
0.000 0.000 0.331 H
0.000 0.000 0.669 H
0.000 0.500 0.000 H
0.000 0.500 0.500 H
0.500 0.000 0.000 H
0.500 0.000 0.500 H
0.500 0.500 0.169 H
0.500 0.500 0.831 H

# 22
Ba2NaH | the Alexandria database | PBE-GGA | optimized geometry; excess energy over the best structure of this formula in the dataset = 0.077 eV/atom; space-group type = R-3m; mass density = 3.163 g/cm³; calculated total energy = -26.5 eV for the cell shown
1.0
4.254 0.000 0.000
-2.127 3.684 0.000
0.000 0.000 30.008
Ba Na H
6 3 3
Direct
0.000 0.000 0.221 Ba
0.000 0.000 0.779 Ba
0.333 0.667 0.446 Ba
0.333 0.667 0.887 Ba
0.667 0.333 0.113 Ba
0.667 0.333 0.554 Ba
0.000 0.000 0.000 Na
0.333 0.667 0.667 Na
0.667 0.333 0.333 Na
0.000 0.000 0.500 H
0.333 0.667 0.167 H
0.667 0.333 0.833 H

# 23
BaNaH | the Alexandria database | PBE-GGA | optimized geometry; excess energy over the best structure of this formula in the dataset = 0.000 eV/atom; space-group type = P4/nmm; mass density = 3.125 g/cm³; calculated total energy = -14.5 eV for the cell shown
1.0
4.211 0.000 0.000
0.000 4.211 0.000
0.000 0.000 9.671
Ba Na H
2 2 2
Direct
0.250 0.250 0.152 Ba
0.750 0.750 0.848 Ba
0.250 0.250 0.577 Na
0.750 0.750 0.423 Na
0.250 0.750 0.000 H
0.750 0.250 0.000 H

# 24
BaNaH | the Alexandria database | PBE-GGA | optimized geometry; excess energy over the best structure of this formula in the dataset = 0.123 eV/atom; space-group type = I4mm; mass density = 2.771 g/cm³; calculated total energy = -13.8 eV for the cell shown
1.0
3.840 0.000 0.000
0.000 3.840 0.000
0.000 0.000 13.114
Ba Na H
2 2 2
Direct
0.000 0.000 0.000 Ba
0.500 0.500 0.500 Ba
0.000 0.000 0.280 Na
0.500 0.500 0.780 Na
0.000 0.000 0.489 H
0.500 0.500 0.989 H

# 25
Ba4Na3H2 | the Alexandria database | PBE-GGA | optimized geometry; space-group type = C2/m; mass density = 2.757 g/cm³; calculated total energy = -19.7 eV for the cell shown
1.0
7.901 -2.264 0.000
7.901 2.264 0.000
-2.375 0.000 10.446
Ba Na H
4 3 2
Direct
0.135 0.135 0.454 Ba
0.289 0.289 0.841 Ba
0.711 0.711 0.159 Ba
0.865 0.865 0.546 Ba
0.000 0.000 0.000 Na
0.431 0.431 0.236 Na
0.569 0.569 0.764 Na
0.294 0.294 0.598 H
0.706 0.706 0.402 H